A plane-wave DFT calculation with PBE+U was carried out for a relaxed Li4MnNb2WO12 crystal.

The total energy comes out at -7.251 eV/atom.

a b c (Å): 5.1509 5.4846 7.5139
angles (deg): 94.79 90.02 90.29
Last column: nearest neighbours and their distance in Å.
Space group P1 (No. 1)
Unique sites:
1 Li 0.0000 0.0000 0.0000 x1  6 O 2.05-2.24
2 Li 0.0034 0.9933 0.4684 x1  4 O 1.98-2.16
3 Li 0.4958 0.5417 0.9915 x1  3 O 1.99-2.08
4 Li 0.5051 0.6663 0.3918 x1  3 O 1.99-2.09
5 Mn 0.0009 0.5966 0.1910 x1  6 O 1.93-1.98
6 Nb 0.5091 0.1112 0.2060 x1  6 O 1.96-2.14
7 Nb 0.9985 0.5630 0.6900 x1  5 O 1.91-2.13
8 W 0.5036 0.0806 0.7042 x1  6 O 1.87-2.05
9 O 0.1134 0.6078 0.9393 x1  1 Nb 1.96, 1 Mn 1.98, 1 Li 2.05
10 O 0.1883 0.2709 0.6255 x1  1 Nb 1.91, 1 W 2.05, 1 Li 2.07
11 O 0.1980 0.8965 0.2459 x1  1 Mn 1.94, 1 Li 1.98, 1 Nb 2.02
12 O 0.3090 0.4139 0.2396 x1  1 Mn 1.93, 1 Nb 1.96, 1 Li 1.99
13 O 0.3133 0.7932 0.6258 x1  1 W 1.90, 1 Li 2.09, 1 Nb 2.13
14 O 0.3719 0.0978 0.9368 x1  1 W 1.87, 1 Li 2.05
15 O 0.6257 0.0947 0.4528 x1  1 Nb 1.96, 1 W 2.00, 1 Li 2.03
16 O 0.6719 0.4067 0.7540 x1  1 Nb 1.96, 1 W 1.99, 1 Li 2.08
17 O 0.7038 0.7929 0.1354 x1  1 Mn 1.94, 1 Li 1.99, 1 Nb 2.05
18 O 0.8090 0.2968 0.1290 x1  1 Mn 1.94, 1 Nb 1.96, 1 Li 2.08
19 O 0.8091 0.9165 0.7532 x1  1 W 1.87
20 O 0.8878 0.6136 0.4393 x1  1 Mn 1.95, 1 Nb 2.01, 2 Li 2.03-2.16